Compound: RbTiNi2
Source: Alexandria
Functional: PBE-GGA
Structure: relaxed

Values from the calculation:
* DFT formation energy: 0.84 eV/atom
* V: 374 Å³ per cell
* final energy: -4.2644 eV/atom

```
data_RbTiNi2
_chemical_formula_sum 'Rb4 Ti4 Ni8'
_symmetry_space_group_name_H-M 'I -4 2 d'
_symmetry_Int_Tables_number 122
_symmetry_space_group_name_Hall 'I -4 2bw'
_cell_length_a 7.296
_cell_length_b 7.296
_cell_length_c 7.024
_cell_angle_alpha 90.00
_cell_angle_beta 90.00
_cell_angle_gamma 90.00
loop_
_atom_site_label
_atom_site_type_symbol
_atom_site_fract_x
_atom_site_fract_y
_atom_site_fract_z
Rb1 Rb 0.000 0.000 0.000
Ti1 Ti 0.000 0.000 0.500
Ni1 Ni 0.162 0.250 0.625
```

Compound: Rb2TiNi
Source: Alexandria
Functional: PBE-GGA
Structure: relaxed

Values from the calculation:
* DFT formation energy: 1.48 eV/atom
* V: 617 Å³ per cell
* final energy: -2.4210 eV/atom

```
data_Rb2TiNi
_chemical_formula_sum 'Rb8 Ti4 Ni4'
_symmetry_space_group_name_H-M 'F m -3 m'
_symmetry_Int_Tables_number 225
_symmetry_space_group_name_Hall '-F 4 2 3'
_cell_length_a 8.513
_cell_length_b 8.513
_cell_length_c 8.513
_cell_angle_alpha 90.00
_cell_angle_beta 90.00
_cell_angle_gamma 90.00
loop_
_atom_site_label
_atom_site_type_symbol
_atom_site_fract_x
_atom_site_fract_y
_atom_site_fract_z
Rb1 Rb 0.250 0.250 0.250
Ti1 Ti 0.000 0.000 0.000
Ni1 Ni 0.000 0.000 0.500
```

Compound: RbTiV2Ni
Source: Alexandria
Functional: PBE-GGA
Structure: relaxed

Values from the calculation:
* DFT formation energy: 1.86 eV/atom
* V: 114 Å³ per cell
* final energy: -4.7153 eV/atom

```
data_RbTiV2Ni
_chemical_formula_sum 'Rb1 Ti1 V2 Ni1'
_symmetry_space_group_name_H-M 'P 4/m m m'
_symmetry_Int_Tables_number 123
_symmetry_space_group_name_Hall '-P 4 2'
_cell_length_a 4.509
_cell_length_b 4.509
_cell_length_c 5.614
_cell_angle_alpha 90.00
_cell_angle_beta 90.00
_cell_angle_gamma 90.00
loop_
_atom_site_label
_atom_site_type_symbol
_atom_site_fract_x
_atom_site_fract_y
_atom_site_fract_z
Rb1 Rb 0.000 0.000 0.000
Ti1 Ti 0.000 0.000 0.500
V1 V 0.000 0.500 0.500
Ni1 Ni 0.500 0.500 0.000
```

Compound: RbYTiNi2
Source: Alexandria
Functional: PBE-GGA
Structure: relaxed

Values from the calculation:
* DFT formation energy: 1.65 eV/atom
* V: 112 Å³ per cell
* final energy: -3.7316 eV/atom

```
data_RbYTiNi2
_chemical_formula_sum 'Rb1 Y1 Ti1 Ni2'
_symmetry_space_group_name_H-M 'P 4/m m m'
_symmetry_Int_Tables_number 123
_symmetry_space_group_name_Hall '-P 4 2'
_cell_length_a 4.789
_cell_length_b 4.789
_cell_length_c 4.875
_cell_angle_alpha 90.00
_cell_angle_beta 90.00
_cell_angle_gamma 90.00
loop_
_atom_site_label
_atom_site_type_symbol
_atom_site_fract_x
_atom_site_fract_y
_atom_site_fract_z
Rb1 Rb 0.000 0.000 0.000
Y1 Y 0.500 0.500 0.500
Ti1 Ti 0.000 0.000 0.500
Ni1 Ni 0.000 0.500 0.000
```

Compound: RbZrTiNi2
Source: Alexandria
Functional: PBE-GGA
Structure: relaxed

Values from the calculation:
* DFT formation energy: 1.90 eV/atom
* V: 102 Å³ per cell
* final energy: -3.8961 eV/atom

```
data_RbZrTiNi2
_chemical_formula_sum 'Rb1 Zr1 Ti1 Ni2'
_symmetry_space_group_name_H-M 'P 4/m m m'
_symmetry_Int_Tables_number 123
_symmetry_space_group_name_Hall '-P 4 2'
_cell_length_a 4.618
_cell_length_b 4.618
_cell_length_c 4.778
_cell_angle_alpha 90.00
_cell_angle_beta 90.00
_cell_angle_gamma 90.00
loop_
_atom_site_label
_atom_site_type_symbol
_atom_site_fract_x
_atom_site_fract_y
_atom_site_fract_z
Rb1 Rb 0.000 0.000 0.000
Zr1 Zr 0.500 0.500 0.500
Ti1 Ti 0.000 0.000 0.500
Ni1 Ni 0.000 0.500 0.000
```

Compound: Rb2TlNi
Source: Alexandria
Functional: PBE-GGA
Structure: relaxed

Values from the calculation:
* DFT formation energy: 0.63 eV/atom
* V: 603 Å³ per cell
* final energy: -1.8945 eV/atom

```
data_Rb2TlNi
_chemical_formula_sum 'Rb8 Tl4 Ni4'
_symmetry_space_group_name_H-M 'F m -3 m'
_symmetry_Int_Tables_number 225
_symmetry_space_group_name_Hall '-F 4 2 3'
_cell_length_a 8.450
_cell_length_b 8.450
_cell_length_c 8.450
_cell_angle_alpha 90.00
_cell_angle_beta 90.00
_cell_angle_gamma 90.00
loop_
_atom_site_label
_atom_site_type_symbol
_atom_site_fract_x
_atom_site_fract_y
_atom_site_fract_z
Rb1 Rb 0.250 0.250 0.250
Tl1 Tl 0.000 0.000 0.000
Ni1 Ni 0.000 0.000 0.500
```

Compound: RbTl2Ni
Source: Alexandria
Functional: PBE-GGA
Structure: relaxed

Values from the calculation:
* DFT formation energy: 0.49 eV/atom
* V: 448 Å³ per cell
* final energy: -2.3841 eV/atom

```
data_RbTl2Ni
_chemical_formula_sum 'Rb4 Tl8 Ni4'
_symmetry_space_group_name_H-M 'F m -3 m'
_symmetry_Int_Tables_number 225
_symmetry_space_group_name_Hall '-F 4 2 3'
_cell_length_a 7.651
_cell_length_b 7.651
_cell_length_c 7.651
_cell_angle_alpha 90.00
_cell_angle_beta 90.00
_cell_angle_gamma 90.00
loop_
_atom_site_label
_atom_site_type_symbol
_atom_site_fract_x
_atom_site_fract_y
_atom_site_fract_z
Rb1 Rb 0.000 0.000 0.000
Tl1 Tl 0.250 0.250 0.250
Ni1 Ni 0.000 0.000 0.500
```

Compound: RbTl3Ni
Source: Alexandria
Functional: PBE-GGA
Structure: relaxed

Values from the calculation:
* DFT formation energy: 1.39 eV/atom
* V: 256 Å³ per cell
* final energy: -1.3782 eV/atom

```
data_RbTl3Ni
_chemical_formula_sum 'Rb1 Tl3 Ni1'
_symmetry_space_group_name_H-M 'P m -3 m'
_symmetry_Int_Tables_number 221
_symmetry_space_group_name_Hall '-P 4 2 3'
_cell_length_a 6.351
_cell_length_b 6.351
_cell_length_c 6.351
_cell_angle_alpha 90.00
_cell_angle_beta 90.00
_cell_angle_gamma 90.00
loop_
_atom_site_label
_atom_site_type_symbol
_atom_site_fract_x
_atom_site_fract_y
_atom_site_fract_z
Rb1 Rb 0.000 0.000 0.000
Tl1 Tl 0.000 0.000 0.500
Ni1 Ni 0.500 0.500 0.500
```

Compound: RbTl3Ni
Source: Alexandria
Functional: PBE-GGA
Structure: relaxed

Values from the calculation:
* DFT formation energy: 0.04 eV/atom
* V: 150 Å³ per cell
* final energy: -2.7270 eV/atom

```
data_RbTl3Ni
_chemical_formula_sum 'Rb1 Tl3 Ni1'
_symmetry_space_group_name_H-M 'P m -3 m'
_symmetry_Int_Tables_number 221
_symmetry_space_group_name_Hall '-P 4 2 3'
_cell_length_a 5.314
_cell_length_b 5.314
_cell_length_c 5.314
_cell_angle_alpha 90.00
_cell_angle_beta 90.00
_cell_angle_gamma 90.00
loop_
_atom_site_label
_atom_site_type_symbol
_atom_site_fract_x
_atom_site_fract_y
_atom_site_fract_z
Rb1 Rb 0.000 0.000 0.000
Tl1 Tl 0.000 0.500 0.500
Ni1 Ni 0.500 0.500 0.500
```

Compound: RbTlNi2
Source: Alexandria
Functional: PBE-GGA
Structure: relaxed

Values from the calculation:
* DFT formation energy: 0.87 eV/atom
* V: 334 Å³ per cell
* final energy: -2.8541 eV/atom

```
data_RbTlNi2
_chemical_formula_sum 'Rb4 Tl4 Ni8'
_symmetry_space_group_name_H-M 'F m -3 m'
_symmetry_Int_Tables_number 225
_symmetry_space_group_name_Hall '-F 4 2 3'
_cell_length_a 6.940
_cell_length_b 6.940
_cell_length_c 6.940
_cell_angle_alpha 90.00
_cell_angle_beta 90.00
_cell_angle_gamma 90.00
loop_
_atom_site_label
_atom_site_type_symbol
_atom_site_fract_x
_atom_site_fract_y
_atom_site_fract_z
Rb1 Rb 0.000 0.000 0.000
Tl1 Tl 0.000 0.000 0.500
Ni1 Ni 0.250 0.250 0.250
```

Compound: RbTl2Ni
Source: Alexandria
Functional: PBE-GGA
Structure: relaxed

Values from the calculation:
* DFT formation energy: 0.18 eV/atom
* V: 672 Å³ per cell
* final energy: -2.6892 eV/atom

```
data_RbTl2Ni
_chemical_formula_sum 'Rb4 Tl8 Ni4'
_symmetry_space_group_name_H-M 'I -4 2 d'
_symmetry_Int_Tables_number 122
_symmetry_space_group_name_Hall 'I -4 2bw'
_cell_length_a 6.820
_cell_length_b 6.820
_cell_length_c 14.459
_cell_angle_alpha 90.00
_cell_angle_beta 90.00
_cell_angle_gamma 90.00
loop_
_atom_site_label
_atom_site_type_symbol
_atom_site_fract_x
_atom_site_fract_y
_atom_site_fract_z
Rb1 Rb 0.000 0.000 0.000
Tl1 Tl 0.004 0.250 0.625
Ni1 Ni 0.000 0.000 0.500
```

Compound: RbTlNi2
Source: Alexandria
Functional: PBE-GGA
Structure: relaxed

Values from the calculation:
* DFT formation energy: 0.53 eV/atom
* V: 448 Å³ per cell
* final energy: -3.1967 eV/atom

```
data_RbTlNi2
_chemical_formula_sum 'Rb4 Tl4 Ni8'
_symmetry_space_group_name_H-M 'I 41/a m d'
_symmetry_Int_Tables_number 141
_cell_length_a 5.007
_cell_length_b 5.007
_cell_length_c 17.884
_cell_angle_alpha 90.00
_cell_angle_beta 90.00
_cell_angle_gamma 90.00
loop_
_symmetry_equiv_pos_as_xyz
'x,y,z'
'-x,-y,-z'
'-y+1/4,x+3/4,z+1/4'
'y+1/4,-x+3/4,-z+1/4'
'-x+1/2,-y,z+1/2'
'x+1/2,y,-z+1/2'
'y+1/4,-x+1/4,z+3/4'
'-y+1/4,x+1/4,-z+3/4'
'x,-y,-z'
'-x,y,z'
'-y+1/4,-x+1/4,-z+3/4'
'y+1/4,x+1/4,z+3/4'
'-x+1/2,y,-z+1/2'
'x+1/2,-y,z+1/2'
'y+1/4,x+3/4,-z+1/4'
'-y+1/4,-x+3/4,z+1/4'
'x+1/2,y+1/2,z+1/2'
'-x+1/2,-y+1/2,-z+1/2'
'-y+3/4,x+1/4,z+3/4'
'y+3/4,-x+1/4,-z+3/4'
'-x,-y+1/2,z'
'x,y+1/2,-z'
'y+3/4,-x+3/4,z+1/4'
'-y+3/4,x+3/4,-z+1/4'
'x+1/2,-y+1/2,-z+1/2'
'-x+1/2,y+1/2,z+1/2'
'-y+3/4,-x+3/4,-z+1/4'
'y+3/4,x+3/4,z+1/4'
'-x,y+1/2,-z'
'x,-y+1/2,z'
'y+3/4,x+1/4,-z+3/4'
'-y+3/4,-x+1/4,z+3/4'
loop_
_atom_site_label
_atom_site_type_symbol
_atom_site_fract_x
_atom_site_fract_y
_atom_site_fract_z
Rb1 Rb 0.000 0.250 0.375
Tl1 Tl 0.000 0.250 0.875
Ni1 Ni 0.000 0.000 0.000
```

Compound: Rb2Tl4Ni
Source: Alexandria
Functional: PBE-GGA
Structure: relaxed

Values from the calculation:
* DFT formation energy: 0.03 eV/atom
* V: 533 Å³ per cell
* final energy: -2.4228 eV/atom

```
data_Rb2Tl4Ni
_chemical_formula_sum 'Rb4 Tl8 Ni2'
_symmetry_space_group_name_H-M 'I 4/m m m'
_symmetry_Int_Tables_number 139
_symmetry_space_group_name_Hall '-I 4 2'
_cell_length_a 5.192
_cell_length_b 5.192
_cell_length_c 19.757
_cell_angle_alpha 90.00
_cell_angle_beta 90.00
_cell_angle_gamma 90.00
loop_
_atom_site_label
_atom_site_type_symbol
_atom_site_fract_x
_atom_site_fract_y
_atom_site_fract_z
Rb1 Rb 0.000 0.000 0.169
Tl1 Tl 0.000 0.000 0.369
Tl2 Tl 0.000 0.500 0.000
Ni1 Ni 0.000 0.000 0.500
```

Compound: Rb2TlNi
Source: Alexandria
Functional: PBE-GGA
Structure: relaxed

Values from the calculation:
* DFT formation energy: 0.26 eV/atom
* V: 801 Å³ per cell
* final energy: -2.2646 eV/atom

```
data_Rb2TlNi
_chemical_formula_sum 'Rb8 Tl4 Ni4'
_symmetry_space_group_name_H-M 'I -4 2 d'
_symmetry_Int_Tables_number 122
_symmetry_space_group_name_Hall 'I -4 2bw'
_cell_length_a 12.669
_cell_length_b 12.669
_cell_length_c 4.990
_cell_angle_alpha 90.00
_cell_angle_beta 90.00
_cell_angle_gamma 90.00
loop_
_atom_site_label
_atom_site_type_symbol
_atom_site_fract_x
_atom_site_fract_y
_atom_site_fract_z
Rb1 Rb 0.076 0.250 0.125
Tl1 Tl 0.000 0.000 0.500
Ni1 Ni 0.000 0.000 0.000
```

Compound: RbYTlNi2
Source: Alexandria
Functional: PBE-GGA
Structure: relaxed

Values from the calculation:
* DFT formation energy: 1.00 eV/atom
* V: 158 Å³ per cell
* final energy: -3.2728 eV/atom

```
data_RbYTlNi2
_chemical_formula_sum 'Rb1 Y1 Tl1 Ni2'
_symmetry_space_group_name_H-M 'P 4/m m m'
_symmetry_Int_Tables_number 123
_symmetry_space_group_name_Hall '-P 4 2'
_cell_length_a 5.013
_cell_length_b 5.013
_cell_length_c 6.299
_cell_angle_alpha 90.00
_cell_angle_beta 90.00
_cell_angle_gamma 90.00
loop_
_atom_site_label
_atom_site_type_symbol
_atom_site_fract_x
_atom_site_fract_y
_atom_site_fract_z
Rb1 Rb 0.000 0.000 0.000
Y1 Y 0.000 0.000 0.500
Tl1 Tl 0.500 0.500 0.000
Ni1 Ni 0.000 0.500 0.500
```

Compound: RbTl2ZnNi
Source: Alexandria
Functional: PBE-GGA
Structure: relaxed

Values from the calculation:
* DFT formation energy: 0.06 eV/atom
* V: 136 Å³ per cell
* final energy: -2.4935 eV/atom

```
data_RbTl2ZnNi
_chemical_formula_sum 'Rb1 Tl2 Zn1 Ni1'
_symmetry_space_group_name_H-M 'P 4/m m m'
_symmetry_Int_Tables_number 123
_symmetry_space_group_name_Hall '-P 4 2'
_cell_length_a 5.216
_cell_length_b 5.216
_cell_length_c 5.004
_cell_angle_alpha 90.00
_cell_angle_beta 90.00
_cell_angle_gamma 90.00
loop_
_atom_site_label
_atom_site_type_symbol
_atom_site_fract_x
_atom_site_fract_y
_atom_site_fract_z
Rb1 Rb 0.000 0.000 0.000
Tl1 Tl 0.000 0.500 0.500
Zn1 Zn 0.500 0.500 0.000
Ni1 Ni 0.500 0.500 0.500
```

Compound: RbTlZn2Ni
Source: Alexandria
Functional: PBE-GGA
Structure: relaxed

Values from the calculation:
* DFT formation energy: 0.05 eV/atom
* V: 124 Å³ per cell
* final energy: -2.2816 eV/atom

```
data_RbTlZn2Ni
_chemical_formula_sum 'Rb1 Tl1 Zn2 Ni1'
_symmetry_space_group_name_H-M 'P 4/m m m'
_symmetry_Int_Tables_number 123
_symmetry_space_group_name_Hall '-P 4 2'
_cell_length_a 4.933
_cell_length_b 4.933
_cell_length_c 5.083
_cell_angle_alpha 90.00
_cell_angle_beta 90.00
_cell_angle_gamma 90.00
loop_
_atom_site_label
_atom_site_type_symbol
_atom_site_fract_x
_atom_site_fract_y
_atom_site_fract_z
Rb1 Rb 0.000 0.000 0.000
Tl1 Tl 0.500 0.500 0.000
Zn1 Zn 0.000 0.500 0.500
Ni1 Ni 0.500 0.500 0.500
```

Compound: RbZr2TlNi
Source: Alexandria
Functional: PBE-GGA
Structure: relaxed

Values from the calculation:
* DFT formation energy: 0.72 eV/atom
* V: 151 Å³ per cell
* final energy: -4.5243 eV/atom

```
data_RbZr2TlNi
_chemical_formula_sum 'Rb1 Zr2 Tl1 Ni1'
_symmetry_space_group_name_H-M 'P 4/m m m'
_symmetry_Int_Tables_number 123
_symmetry_space_group_name_Hall '-P 4 2'
_cell_length_a 4.938
_cell_length_b 4.938
_cell_length_c 6.204
_cell_angle_alpha 90.00
_cell_angle_beta 90.00
_cell_angle_gamma 90.00
loop_
_atom_site_label
_atom_site_type_symbol
_atom_site_fract_x
_atom_site_fract_y
_atom_site_fract_z
Rb1 Rb 0.000 0.000 0.000
Zr1 Zr 0.000 0.500 0.500
Tl1 Tl 0.500 0.500 0.000
Ni1 Ni 0.000 0.000 0.500
```

Compound: Rb2VNi
Source: Alexandria
Functional: PBE-GGA
Structure: relaxed

Values from the calculation:
* DFT formation energy: 1.46 eV/atom
* V: 568 Å³ per cell
* final energy: -2.7448 eV/atom

```
data_Rb2VNi
_chemical_formula_sum 'Rb8 V4 Ni4'
_symmetry_space_group_name_H-M 'F m -3 m'
_symmetry_Int_Tables_number 225
_symmetry_space_group_name_Hall '-F 4 2 3'
_cell_length_a 8.279
_cell_length_b 8.279
_cell_length_c 8.279
_cell_angle_alpha 90.00
_cell_angle_beta 90.00
_cell_angle_gamma 90.00
loop_
_atom_site_label
_atom_site_type_symbol
_atom_site_fract_x
_atom_site_fract_y
_atom_site_fract_z
Rb1 Rb 0.250 0.250 0.250
V1 V 0.000 0.000 0.000
Ni1 Ni 0.000 0.000 0.500
```

Compound: RbV2Ni
Source: Alexandria
Functional: PBE-GGA
Structure: relaxed

Values from the calculation:
* DFT formation energy: 1.62 eV/atom
* V: 257 Å³ per cell
* final energy: -4.6303 eV/atom

```
data_RbV2Ni
_chemical_formula_sum 'Rb4 V8 Ni4'
_symmetry_space_group_name_H-M 'F m -3 m'
_symmetry_Int_Tables_number 225
_symmetry_space_group_name_Hall '-F 4 2 3'
_cell_length_a 6.357
_cell_length_b 6.357
_cell_length_c 6.357
_cell_angle_alpha 90.00
_cell_angle_beta 90.00
_cell_angle_gamma 90.00
loop_
_atom_site_label
_atom_site_type_symbol
_atom_site_fract_x
_atom_site_fract_y
_atom_site_fract_z
Rb1 Rb 0.000 0.000 0.000
V1 V 0.250 0.250 0.250
Ni1 Ni 0.000 0.000 0.500
```